Entry from the Alexandria database: a geometry-optimized Na3ZrSc2Se6 structure (PBE).

```
Na3ZrSc2Se6
1.0
3.385 -5.863 0.000
3.385 5.863 0.000
-2.258 0.000 7.038
Na Zr Sc Se
3 1 2 6
Direct
0.000 0.000 0.000
0.334 0.666 0.000
0.666 0.334 0.000
0.500 0.500 0.500
0.167 0.833 0.500
0.833 0.167 0.500
0.093 0.426 0.278
0.241 0.241 0.722
0.426 0.093 0.278
0.574 0.907 0.722
0.759 0.759 0.278
0.907 0.574 0.722
```

Output
Formation energy (no corrections), eV/atom: -1.48

Entry from the Alexandria database: a geometry-optimized ThZr2Sc4 structure (PBE).

```
ThZr2Sc4
1.0
8.386 0.000 0.000
0.000 8.386 0.000
0.000 0.000 5.132
Th Zr Sc
2 4 8
Direct
0.000 0.000 0.000
0.500 0.500 0.500
0.185 0.185 0.500
0.315 0.685 0.000
0.685 0.315 0.000
0.815 0.815 0.500
0.122 0.624 0.500
0.124 0.378 0.000
0.376 0.878 0.500
0.378 0.124 0.000
0.622 0.876 0.000
0.624 0.122 0.500
0.876 0.622 0.000
0.878 0.376 0.500
```

Output
Offset from the most stable computed form, kJ/mol of formula units: 128
Energy of formation from the pure elements, eV/f.u.: 1.8

Entry from the Alexandria database: a geometry-optimized AcTiCl2 structure (PBE).

```
AcTiCl2
1.0
1.931 1.115 8.866
-1.931 1.115 8.866
0.000 -2.230 8.866
Ac Ti Cl
1 1 2
Direct
0.000 0.000 0.000
0.500 0.500 0.500
0.117 0.117 0.117
0.883 0.883 0.883
```

Output
Formation energy (no corrections), eV/atom: -0.82

Entry from the Alexandria database: a geometry-optimized LaSmDyTe3 structure (PBE).

```
LaSmDyTe3
1.0
8.649 0.000 0.000
0.000 4.392 0.000
-2.878 0.000 10.479
La Sm Dy Te
2 2 2 6
Direct
0.190 0.250 0.218
0.810 0.750 0.782
0.337 0.750 0.909
0.663 0.250 0.091
0.155 0.250 0.621
0.845 0.750 0.379
0.084 0.250 0.889
0.221 0.750 0.452
0.484 0.750 0.209
0.516 0.250 0.791
0.779 0.250 0.548
0.916 0.750 0.111
```

Output
Formation energy (no corrections), eV/atom: -1.30

Entry from the Alexandria database: a geometry-optimized Ta2MnFe2 structure (PBE).

```
Ta2MnFe2
1.0
5.928 0.000 0.000
0.000 5.928 0.000
0.000 0.000 3.959
Ta Mn Fe
4 2 4
Direct
0.182 0.318 0.000
0.318 0.818 0.000
0.682 0.182 0.000
0.818 0.682 0.000
0.000 0.000 0.500
0.500 0.500 0.500
0.132 0.632 0.500
0.368 0.132 0.500
0.632 0.868 0.500
0.868 0.368 0.500
```

Output
Energy of formation from the pure elements, eV/f.u.: 0.3

Entry from the Alexandria database: a geometry-optimized Ac3Pt3Rh structure (PBE).

```
Ac3Pt3Rh
1.0
-2.129 2.249 9.632
2.129 -2.249 9.632
2.129 2.249 -9.632
Ac Pt Rh
3 3 1
Direct
0.000 0.000 0.000
0.366 0.366 0.000
0.685 0.185 0.500
0.120 0.620 0.500
0.532 0.532 0.000
0.833 0.833 0.000
0.254 0.754 0.500
```

Output
Energy of formation from the pure elements, eV/f.u.: -7.0

Entry from the Alexandria database: a geometry-optimized LiGaPb2Se4 structure (PBE).

```
LiGaPb2Se4
1.0
4.315 -4.579 0.000
4.315 4.579 0.000
-4.230 0.000 5.439
Li Ga Pb Se
1 1 2 4
Direct
0.000 0.000 0.000
0.775 0.225 0.500
0.214 0.786 0.500
0.463 0.537 0.000
0.135 0.279 0.454
0.442 0.106 0.077
0.721 0.865 0.546
0.894 0.558 0.923
```

Output
Formation energy (no corrections), eV/atom: -0.65

Entry from the Alexandria database: a geometry-optimized MgZrCrFe2 structure (PBE).

```
MgZrCrFe2
1.0
4.368 0.000 0.000
0.000 4.368 0.000
0.000 0.000 4.722
Mg Zr Cr Fe
1 1 1 2
Direct
0.000 0.000 0.000
0.500 0.500 0.000
0.500 0.500 0.500
0.000 0.500 0.500
0.500 0.000 0.500
```

Output
Energy of formation from the pure elements, eV/f.u.: 3.9

| no. | electronic total energy (eV/atom) | volume (Å³/f.u.) |
| --- | --- | --- |
| 1 | -5.3207 | 279.4 |
| 2 | -6.8643 | 180.5 |
| 3 | -4.7428 | 114.5 |
| 4 | -5.2504 | 199.0 |
| 5 | -9.9045 | 69.6 |
| 6 | -6.3943 | 184.5 |
| 7 | -3.9322 | 215.0 |
| 8 | -6.5515 | 90.1 |